The following is a DFT calculation (GGA+U) of a geometry-optimized WC2F structure.

It has space group I-42d (No. 122), with a = 4.884 Å, b = 4.884 Å, c = 9.876 Å, α = 90.00°, β = 90.00° and γ = 90.00°. Symmetry generates all atoms from W at (0.000, 0.000, 0.000), C at (0.193, 0.250, 0.125) and F at (0.000, 0.000, 0.500).

The energy above the most stable polymorph in this dataset is 0 meV/atom. As for the total energy: -5.40 eV/atom.